Here is a geometry-optimized Ce2Th3Te8 structure from Alexandria. Energies are from PBE.

Cell and atoms, written as extended XYZ:
```
13
Lattice="5.3792 -7.6544 0.0000 5.3792 7.6544 0.0000 0.0000 0.0000 5.4300" Properties=species:S:1:pos:R:3 pbc="T T T"
Te 8.1603 -1.8873 2.7150
Te 8.1603 1.8873 2.7150
Te 2.5981 1.8873 2.7150
Te 5.3792 -1.9288 0.0000
Te 5.3792 5.8425 0.0000
Te 5.3792 1.9288 0.0000
Te 5.3792 -5.8425 0.0000
Te 2.5981 -1.8873 2.7150
Th 7.9439 0.0000 0.0000
Th 2.8145 0.0000 0.0000
Th 0.0000 0.0000 2.7150
Ce 5.3792 3.6316 2.7150
Ce 5.3792 -3.6316 2.7150
```

Summary:
formation energy (no corrections)	-1.199	eV per atom
space group	Cmmm (65)
total magnetic moment	2.369	μB per cell

=====

Here is a geometry-optimized AgCS2N structure from Alexandria. Energies are from PBE.

Cell and atoms, written as extended XYZ:
```
5
Lattice="-2.9136 3.5508 -3.4194 -4.9213 -2.3256 1.7784 -0.1227 1.6491 1.8170" Properties=species:S:1:pos:R:3 pbc="T T T"
N -0.0613 0.8245 0.9085
C 0.0000 0.0000 0.0000
S -1.4568 1.7754 -1.7097
S -2.4606 -1.1628 0.8892
Ag -3.9788 1.4371 0.0879
```

Summary:
formation energy (no corrections)	0.814	eV per atom
space group	P4/mmm (123)
total magnetic moment	0.000	μB per cell

=====

Here is a geometry-optimized Nd12Hg6Rh structure from Alexandria. Energies are from PBE.

Cell and atoms, written as extended XYZ:
```
19
Lattice="-6.7840 -4.8887 1.3903 2.3943 -4.2325 -6.9432 5.0270 -4.4360 5.1872" Properties=species:S:1:pos:R:3 pbc="T T T"
Nd 0.6001 -6.0261 -5.8170
Nd -1.0514 -5.3803 1.5789
Nd 2.3884 -5.1794 0.1251
Nd 1.6887 -8.1768 -1.9447
Nd 5.0263 -6.0541 2.9318
Nd -1.7511 -8.3777 -0.4908
Nd -0.5934 -5.2587 -2.1307
Nd -4.7530 -6.4990 2.3839
Nd 0.0372 -7.5311 5.4512
Nd -4.3890 -7.5031 -3.2976
Nd 5.3903 -7.0582 -2.7497
Nd 1.2306 -8.2985 1.7650
Hg 2.5485 -5.3736 -3.1118
Hg -1.0462 -7.9695 -3.6820
Hg 1.6835 -5.5877 3.3162
Hg -1.9112 -8.1836 2.7461
Hg -3.4477 -5.7217 -0.6545
Hg 4.0850 -7.8354 0.2887
Rh 0.0000 0.0000 0.0000
```

Summary:
raw total energy	-71.431	eV/f.u.
space group	R-3 (148)
total magnetic moment	0.000	μB per cell

=====

Among the records above, which one has the highest total magnetic moment?
Ce2Th3Te8